# 1
# Pr2Sm7Tm2 GGA-PBE relaxed
data_Pr2Sm7Tm2
_space_group_name_H-M_alt 'P 1'
_space_group_IT_number 1
_space_group_name_Hall 'P 1'
_cell_length_a 8.561
_cell_length_b 6.735
_cell_length_c 6.735
_cell_angle_alpha 87.99
_cell_angle_beta 80.69
_cell_angle_gamma 80.69
loop_
_atom_site_label
_atom_site_fract_x
_atom_site_fract_y
_atom_site_fract_z
Pr1 0.147 0.604 0.604
Sm1 0.810 0.903 0.501
Sm2 0.810 0.501 0.903
Sm3 0.190 0.097 0.499
Tm1 0.500 0.813 0.187
Sm4 0.190 0.499 0.097
Sm5 0.000 0.000 0.000
Pr2 0.853 0.396 0.396
Tm2 0.500 0.187 0.813
Sm6 0.519 0.306 0.306
Sm7 0.481 0.694 0.694
# - Energy above the lowest structure with this stoichiometry: 0.1578 eV/atom
# - Final energy: -4.5105 eV per atom
# - Crystal system: monoclinic
# - Spin magnetization: 0.00 μB per cell
# - Space-group type: C2/m, No. 12
# - ΔH_f (0 K): 0.1746 eV per atom

***

# 2
# Th2Zn12Au7 GGA-PBE relaxed
data_Th2Zn12Au7
_space_group_name_H-M_alt 'P 1'
_space_group_IT_number 1
_space_group_name_Hall 'P 1'
_cell_length_a 4.156
_cell_length_b 10.490
_cell_length_c 10.490
_cell_angle_alpha 120.00
_cell_angle_beta 90.00
_cell_angle_gamma 90.00
loop_
_atom_site_label
_atom_site_fract_x
_atom_site_fract_y
_atom_site_fract_z
Th1 0.753 0.667 0.333
Zn1 0.750 0.388 0.958
Au1 0.250 0.418 0.133
Zn2 0.244 0.113 0.264
Zn3 0.250 0.612 0.042
Th2 0.247 0.333 0.667
Au2 0.500 0.000 0.000
Zn4 0.750 0.570 0.612
Au3 0.750 0.285 0.418
Zn5 0.250 0.430 0.388
Zn6 0.756 0.887 0.736
Au4 0.750 0.133 0.715
Zn7 0.250 0.958 0.570
Zn8 0.756 0.264 0.151
Zn9 0.244 0.736 0.849
Au5 0.750 0.582 0.867
Au6 0.250 0.715 0.582
Zn10 0.750 0.042 0.430
Zn11 0.244 0.151 0.887
Au7 0.250 0.867 0.285
Zn12 0.756 0.849 0.113
# - Final energy: -2.8336 eV per atom
# - Crystal system: trigonal
# - Spin magnetization: 0.00 μB per cell
# - Space-group type: P-3, No. 147
# - ΔH_f (0 K): -0.3066 eV per atom

***

# 3
# BC2 GGA-PBE relaxed
data_BC2
_space_group_name_H-M_alt 'P 1'
_space_group_IT_number 1
_space_group_name_Hall 'P 1'
_cell_length_a 7.161
_cell_length_b 7.051
_cell_length_c 7.051
_cell_angle_alpha 158.32
_cell_angle_beta 142.88
_cell_angle_gamma 43.31
loop_
_atom_site_label
_atom_site_fract_x
_atom_site_fract_y
_atom_site_fract_z
C1 0.997 0.667 0.330
B1 0.081 0.011 0.070
C2 0.121 0.128 0.994
B2 0.062 0.339 0.723
C3 0.504 0.164 0.340
C4 0.628 0.625 0.003
B3 0.544 0.281 0.264
C5 0.485 0.833 0.652
C6 0.140 0.459 0.681
C7 0.094 0.783 0.311
C8 0.531 0.509 0.023
B4 0.563 0.952 0.611
# - Energy above the lowest structure with this stoichiometry: 0.1262 eV/atom
# - Final energy: -8.0089 eV per atom
# - Crystal system: monoclinic
# - Spin magnetization: 0.00 μB per cell
# - Space-group type: C2/m, No. 12
# - ΔH_f (0 K): 0.3662 eV per atom

***

# 4
# ZnPbCl2 GGA-PBE relaxed
data_ZnPbCl2
_space_group_name_H-M_alt 'P 1'
_space_group_IT_number 1
_space_group_name_Hall 'P 1'
_cell_length_a 4.162
_cell_length_b 5.240
_cell_length_c 6.274
_cell_angle_alpha 68.79
_cell_angle_beta 90.00
_cell_angle_gamma 90.00
loop_
_atom_site_label
_atom_site_fract_x
_atom_site_fract_y
_atom_site_fract_z
Cl1 0.000 0.065 0.033
Pb1 0.500 0.250 0.250
Cl2 0.000 0.435 0.467
Zn1 0.500 0.750 0.750
# - Energy above the lowest structure with this stoichiometry: 0.1757 eV/atom
# - Final energy: -2.6630 eV per atom
# - Crystal system: monoclinic
# - Spin magnetization: 0.00 μB per cell
# - Raw formation energy: -0.4941 eV/atom
# - Space-group type: P2/m, No. 10